## Dy4TmTl5 (PBE-GGA)

Data for an optimized crystal structure of Dy4TmTl5.

Unit cell a=3.749 b=3.749 c=19.319 alpha=90.00 beta=90.00 gamma=90.00
Positions (direct):
Dy1 0.000 0.000 0.101
Dy2 0.000 0.000 0.302
Dy3 0.000 0.000 0.698
Dy4 0.000 0.000 0.899
Tm1 0.000 0.000 0.500
Tl1 0.500 0.500 0.000
Tl2 0.500 0.500 0.201
Tl3 0.500 0.500 0.403
Tl4 0.500 0.500 0.597
Tl5 0.500 0.500 0.799

## Properties
**Density of states at the Fermi level**: 8.00 states/eV/f.u.
**Symmetry**: P4/mmm, No. 123
**V**: 271.5 Å³/cell
**E_tot**: -38.03 eV/cell
**Energy relative to the elements**: -0.332 eV per atom

---

## CuAgN (PBE-GGA)

Data for an optimized crystal structure of CuAgN.

Unit cell a=3.701 b=3.701 c=5.542 alpha=90.00 beta=90.00 gamma=90.00
Positions (direct):
Cu1 0.250 0.750 0.000
Cu2 0.750 0.250 0.000
Ag1 0.250 0.250 0.410
Ag2 0.750 0.750 0.590
N1 0.250 0.250 0.829
N2 0.750 0.750 0.171

## Properties
**Density of states at the Fermi level**: 2.81 states/eV/f.u.
**Symmetry**: P4/nmm, No. 129
**V**: 75.9 Å³/cell
**E_tot**: -25.33 eV/cell
**Distance to the lowest polymorph of the same formula**: 0.517 eV/atom

---

## MgOsRh (PBE-GGA)

Data for an optimized crystal structure of MgOsRh.

Unit cell a=6.291 b=6.291 c=6.291 alpha=154.61 beta=154.61 gamma=36.22
Positions (direct):
Mg1 0.000 0.000 0.000
Os1 0.322 0.322 0.000
Rh1 0.675 0.675 0.000

## Properties
**Density of states at the Fermi level**: 2.86 states/eV/f.u.
**Symmetry**: I4mm, No. 107
**V**: 45.7 Å³/cell
**E_tot**: -20.29 eV/cell
**Energy relative to the elements**: -0.039 eV per atom
**Distance to the lowest polymorph of the same formula**: 0.000 eV/atom

---

## LaSbOF2 (PBE-GGA)

Data for an optimized crystal structure of LaSbOF2.

Unit cell a=4.662 b=4.662 c=4.824 alpha=90.00 beta=90.00 gamma=90.00
Positions (direct):
La1 0.000 0.000 0.000
Sb1 0.500 0.500 0.500
O1 0.000 0.000 0.500
F1 0.000 0.500 0.000
F2 0.500 0.000 0.000

## Properties
**Density of states at the Fermi level**: 2.07 states/eV/f.u.
**Symmetry**: P4/mmm, No. 123
**V**: 104.8 Å³/cell
**E_tot**: -28.87 eV/cell
**Distance to the lowest polymorph of the same formula**: 0.000 eV/atom

---

## Sc2HPt (PBE-GGA)

Data for an optimized crystal structure of Sc2HPt.

Unit cell a=4.524 b=4.524 c=4.524 alpha=60.00 beta=60.00 gamma=60.00
Positions (direct):
Sc1 0.250 0.250 0.250
Sc2 0.750 0.750 0.750
H1 0.000 0.000 0.000
Pt1 0.500 0.500 0.500

## Properties
**Density of states at the Fermi level**: 3.56 states/eV/f.u.
**Symmetry**: Fm-3m, No. 225
**V**: 65.5 Å³/cell
**E_tot**: -24.10 eV/cell
**Distance to the lowest polymorph of the same formula**: 0.235 eV/atom

---

## La5Pm4Sm (PBE-GGA)

Data for an optimized crystal structure of La5Pm4Sm.

Unit cell a=3.720 b=3.720 c=25.845 alpha=90.00 beta=90.00 gamma=90.00
Positions (direct):
La1 0.000 0.000 0.000
La2 0.000 0.000 0.200
La3 0.000 0.000 0.400
La4 0.000 0.000 0.600
La5 0.000 0.000 0.800
Pm1 0.500 0.500 0.100
Pm2 0.500 0.500 0.300
Pm3 0.500 0.500 0.700
Pm4 0.500 0.500 0.900
Sm1 0.500 0.500 0.500

## Properties
**Density of states at the Fermi level**: 19.17 states/eV/f.u.
**Symmetry**: P4/mmm, No. 123
**V**: 357.6 Å³/cell
**E_tot**: -48.16 eV/cell
**Energy relative to the elements**: 0.020 eV per atom
**Distance to the lowest polymorph of the same formula**: 0.000 eV/atom

---

## Dy6Ho5Tm (PBE-GGA)

Data for an optimized crystal structure of Dy6Ho5Tm.

Unit cell a=9.322 b=9.322 c=9.322 alpha=149.06 beta=115.51 gamma=73.24
Positions (direct):
Dy1 0.083 0.333 0.750
Dy2 0.250 0.000 0.250
Dy3 0.416 0.667 0.750
Dy4 0.584 0.333 0.250
Dy5 0.750 0.000 0.750
Dy6 0.917 0.667 0.250
Ho1 0.166 0.166 0.000
Ho2 0.333 0.833 0.500
Ho3 0.500 0.500 0.000
Ho4 0.667 0.167 0.500
Ho5 0.834 0.834 0.000
Tm1 0.000 0.500 0.500

## Properties
**Density of states at the Fermi level**: 16.21 states/eV/f.u.
**Symmetry**: Immm, No. 71
**V**: 370.2 Å³/cell
**E_tot**: -54.74 eV/cell
**Energy relative to the elements**: 0.019 eV per atom

---

## ZnInCl3 (PBE-GGA)

Data for an optimized crystal structure of ZnInCl3.

Unit cell a=6.275 b=6.275 c=6.275 alpha=111.62 beta=111.62 gamma=111.62
Positions (direct):
Zn1 0.000 0.000 0.000
In1 0.540 0.540 0.540
Cl1 0.129 0.129 0.458
Cl2 0.129 0.458 0.129
Cl3 0.458 0.129 0.129

## Properties
**Density of states at the Fermi level**: 0.00 states/eV/f.u.
**Symmetry**: R3m, No. 160
**V**: 173.5 Å³/cell
**E_tot**: -14.12 eV/cell
**Distance to the lowest polymorph of the same formula**: 0.111 eV/atom

---

## Sr2BiRhN (PBE-GGA)

Data for an optimized crystal structure of Sr2BiRhN.

Unit cell a=5.779 b=5.779 c=3.784 alpha=90.00 beta=90.00 gamma=90.00
Positions (direct):
Sr1 0.000 0.500 0.000
Sr2 0.500 0.000 0.000
Bi1 0.000 0.000 0.500
Rh1 0.500 0.500 0.500
N1 0.500 0.500 0.000

## Properties
**Density of states at the Fermi level**: 3.70 states/eV/f.u.
**Symmetry**: P4/mmm, No. 123
**V**: 126.4 Å³/cell
**E_tot**: -25.87 eV/cell

---

## Ca2Pr2Sm5 (PBE-GGA)

Data for an optimized crystal structure of Ca2Pr2Sm5.

Unit cell a=6.396 b=6.400 c=9.771 alpha=70.99 beta=71.03 gamma=60.22
Positions (direct):
Ca1 0.167 0.167 0.001
Ca2 0.833 0.833 0.999
Pr1 0.285 0.943 0.660
Pr2 0.715 0.057 0.340
Sm1 0.057 0.387 0.341
Sm2 0.388 0.713 0.341
Sm3 0.500 0.500 0.000
Sm4 0.612 0.287 0.659
Sm5 0.943 0.613 0.659

## Properties
**Density of states at the Fermi level**: 13.81 states/eV/f.u.
**Symmetry**: P-1, No. 2
**V**: 321.7 Å³/cell
**E_tot**: -36.64 eV/cell
**Energy relative to the elements**: 0.058 eV per atom

---

## Pr8Ge3Te4N (PBE-GGA)

Data for an optimized crystal structure of Pr8Ge3Te4N.

Unit cell a=8.613 b=8.613 c=8.894 alpha=118.99 beta=118.99 gamma=59.96
Positions (direct):
Pr1 0.226 0.757 0.710
Pr2 0.229 0.229 0.713
Pr3 0.243 0.774 0.290
Pr4 0.257 0.257 0.271
Pr5 0.743 0.743 0.729
Pr6 0.757 0.226 0.710
Pr7 0.771 0.771 0.287
Pr8 0.774 0.243 0.290
Ge1 0.000 0.500 0.500
Ge2 0.500 0.000 0.500
Ge3 0.500 0.500 0.500
Te1 0.000 0.000 0.000
Te2 0.000 0.500 0.000
Te3 0.500 0.000 0.000
Te4 0.500 0.500 0.000
N1 0.000 0.000 0.500

## Properties
**Density of states at the Fermi level**: 3.80 states/eV/f.u.
**Symmetry**: C2/m, No. 12
**V**: 473.4 Å³/cell
**E_tot**: -92.08 eV/cell

---

## La6AgIr2 (PBE-GGA)

Data for an optimized crystal structure of La6AgIr2.

Unit cell a=7.255 b=7.255 c=9.580 alpha=117.52 beta=117.52 gamma=45.84
Positions (direct):
La1 0.016 0.016 0.201
La2 0.295 0.295 0.891
La3 0.350 0.350 0.449
La4 0.650 0.650 0.551
La5 0.705 0.705 0.109
La6 0.984 0.984 0.799
Ag1 0.000 0.000 0.500
Ir1 0.188 0.188 0.110
Ir2 0.812 0.812 0.890

## Properties
**Density of states at the Fermi level**: 9.80 states/eV/f.u.
**Symmetry**: C2/m, No. 12
**V**: 313.0 Å³/cell
**E_tot**: -53.41 eV/cell
**Energy relative to the elements**: -0.363 eV per atom